(1)
# Ca2ScBe (PBE, optimized geometry)
# formation enthalpy at 0 K = 489 meV/atom
data_Ca2ScBe
_symmetry_space_group_name_H-M 'I 4/m m m'
_symmetry_Int_Tables_number 139
_symmetry_space_group_name_Hall '-I 4 2'
_cell_length_a 4.699
_cell_length_b 4.699
_cell_length_c 9.519
_cell_angle_alpha 90.00
_cell_angle_beta 90.00
_cell_angle_gamma 90.00
loop_
_atom_site_label
_atom_site_type_symbol
_atom_site_fract_x
_atom_site_fract_y
_atom_site_fract_z
Ca1 Ca 0.000 0.500 0.250
Sc1 Sc 0.000 0.000 0.000
Be1 Be 0.000 0.000 0.500


(2)
# CaSc2Be (PBE, optimized geometry)
# formation enthalpy at 0 K = 352 meV/atom
data_CaSc2Be
_symmetry_space_group_name_H-M 'R -3 m'
_symmetry_Int_Tables_number 166
_symmetry_space_group_name_Hall '-R 3 2"'
_cell_length_a 3.3897
_cell_length_b 3.3897
_cell_length_c 29.9798
_cell_angle_alpha 90.00
_cell_angle_beta 90.00
_cell_angle_gamma 120.00
loop_
_atom_site_label
_atom_site_type_symbol
_atom_site_fract_x
_atom_site_fract_y
_atom_site_fract_z
Ca1 Ca 0.0000 0.0000 0.0000
Sc1 Sc 0.0000 0.0000 0.1087
Be1 Be 0.0000 0.0000 0.5000


(3)
# CaScBe2Tl (PBE, optimized geometry)
# formation enthalpy at 0 K = 733 meV/atom
data_CaScBe2Tl
_symmetry_space_group_name_H-M 'P 4/m m m'
_symmetry_Int_Tables_number 123
_symmetry_space_group_name_Hall '-P 4 2'
_cell_length_a 4.684
_cell_length_b 4.684
_cell_length_c 5.480
_cell_angle_alpha 90.00
_cell_angle_beta 90.00
_cell_angle_gamma 90.00
loop_
_atom_site_label
_atom_site_type_symbol
_atom_site_fract_x
_atom_site_fract_y
_atom_site_fract_z
Ca1 Ca 0.000 0.000 0.000
Sc1 Sc 0.500 0.500 0.000
Be1 Be 0.000 0.500 0.500
Tl1 Tl 0.500 0.500 0.500


(4)
# CaBeSe2 (PBE, optimized geometry)
# uncorrected formation energy = -0.48 eV per atom
data_CaBeSe2
_symmetry_space_group_name_H-M 'P 4/m m m'
_symmetry_Int_Tables_number 123
_symmetry_space_group_name_Hall '-P 4 2'
_cell_length_a 4.785
_cell_length_b 4.785
_cell_length_c 3.516
_cell_angle_alpha 90.00
_cell_angle_beta 90.00
_cell_angle_gamma 90.00
loop_
_atom_site_label
_atom_site_type_symbol
_atom_site_fract_x
_atom_site_fract_y
_atom_site_fract_z
Ca1 Ca 0.000 0.000 0.000
Be1 Be 0.500 0.500 0.000
Se1 Se 0.000 0.500 0.500


(5)
# CaBeSe2 (PBE, optimized geometry)
# uncorrected formation energy = -0.91 eV per atom
data_CaBeSe2
_symmetry_space_group_name_H-M 'P 1 2/m 1'
_symmetry_Int_Tables_number 10
_symmetry_space_group_name_Hall '-P 2y'
_cell_length_a 3.891
_cell_length_b 3.441
_cell_length_c 6.691
_cell_angle_alpha 90.00
_cell_angle_beta 96.99
_cell_angle_gamma 90.00
loop_
_atom_site_label
_atom_site_type_symbol
_atom_site_fract_x
_atom_site_fract_y
_atom_site_fract_z
Ca1 Ca 0.000 0.000 0.000
Be1 Be 0.500 0.000 0.500
Se1 Se 0.442 0.500 0.733


(6)
# CaBe2Se (PBE, optimized geometry)
# uncorrected formation energy = 0.19 eV per atom
data_CaBe2Se
_symmetry_space_group_name_H-M 'R -3 m'
_symmetry_Int_Tables_number 166
_symmetry_space_group_name_Hall '-R 3 2"'
_cell_length_a 3.6228
_cell_length_b 3.6228
_cell_length_c 21.2273
_cell_angle_alpha 90.00
_cell_angle_beta 90.00
_cell_angle_gamma 120.00
loop_
_atom_site_label
_atom_site_type_symbol
_atom_site_fract_x
_atom_site_fract_y
_atom_site_fract_z
Ca1 Ca 0.0000 0.0000 0.0000
Be1 Be 0.0000 0.0000 0.2259
Se1 Se 0.0000 0.0000 0.5000


(7)
# CaBeSe2 (PBE, optimized geometry)
# uncorrected formation energy = -0.48 eV per atom
data_CaBeSe2
_symmetry_space_group_name_H-M 'C 1 2/m 1'
_symmetry_Int_Tables_number 12
_symmetry_space_group_name_Hall '-C 2y'
_cell_length_a 7.385
_cell_length_b 7.228
_cell_length_c 3.778
_cell_angle_alpha 90.00
_cell_angle_beta 114.15
_cell_angle_gamma 90.00
loop_
_atom_site_label
_atom_site_type_symbol
_atom_site_fract_x
_atom_site_fract_y
_atom_site_fract_z
Ca1 Ca 0.000 0.000 0.000
Be1 Be 0.000 0.500 0.000
Se1 Se 0.250 0.250 0.500


(8)
# CaBeSe (PBE, optimized geometry)
# uncorrected formation energy = -0.04 eV per atom
data_CaBeSe
_symmetry_space_group_name_H-M 'F -4 3 m'
_symmetry_Int_Tables_number 216
_symmetry_space_group_name_Hall 'F -4 2 3'
_cell_length_a 6.759
_cell_length_b 6.759
_cell_length_c 6.759
_cell_angle_alpha 90.00
_cell_angle_beta 90.00
_cell_angle_gamma 90.00
loop_
_atom_site_label
_atom_site_type_symbol
_atom_site_fract_x
_atom_site_fract_y
_atom_site_fract_z
Ca1 Ca 0.000 0.000 0.000
Be1 Be 0.000 0.000 0.500
Se1 Se 0.250 0.250 0.750


(9)
# CaBe3Se (PBE, optimized geometry)
# uncorrected formation energy = 0.74 eV per atom
data_CaBe3Se
_symmetry_space_group_name_H-M 'P m -3 m'
_symmetry_Int_Tables_number 221
_symmetry_space_group_name_Hall '-P 4 2 3'
_cell_length_a 4.534
_cell_length_b 4.534
_cell_length_c 4.534
_cell_angle_alpha 90.00
_cell_angle_beta 90.00
_cell_angle_gamma 90.00
loop_
_atom_site_label
_atom_site_type_symbol
_atom_site_fract_x
_atom_site_fract_y
_atom_site_fract_z
Ca1 Ca 0.000 0.000 0.000
Be1 Be 0.000 0.500 0.500
Se1 Se 0.500 0.500 0.500


(10)
# CaBeSe2 (PBE, optimized geometry)
# uncorrected formation energy = -1.11 eV per atom
data_CaBeSe2
_symmetry_space_group_name_H-M 'C 1 2/m 1'
_symmetry_Int_Tables_number 12
_symmetry_space_group_name_Hall '-C 2y'
_cell_length_a 7.880
_cell_length_b 4.433
_cell_length_c 6.903
_cell_angle_alpha 90.00
_cell_angle_beta 101.62
_cell_angle_gamma 90.00
loop_
_atom_site_label
_atom_site_type_symbol
_atom_site_fract_x
_atom_site_fract_y
_atom_site_fract_z
Ca1 Ca 0.000 0.000 0.000
Be1 Be 0.000 0.500 0.500
Se1 Se 0.133 0.500 0.781


(11)
# CaBe3Se (PBE, optimized geometry)
# uncorrected formation energy = 1.96 eV per atom
data_CaBe3Se
_symmetry_space_group_name_H-M 'P m -3 m'
_symmetry_Int_Tables_number 221
_symmetry_space_group_name_Hall '-P 4 2 3'
_cell_length_a 5.232
_cell_length_b 5.232
_cell_length_c 5.232
_cell_angle_alpha 90.00
_cell_angle_beta 90.00
_cell_angle_gamma 90.00
loop_
_atom_site_label
_atom_site_type_symbol
_atom_site_fract_x
_atom_site_fract_y
_atom_site_fract_z
Ca1 Ca 0.000 0.000 0.000
Be1 Be 0.000 0.000 0.500
Se1 Se 0.500 0.500 0.500


(12)
# CaBe2Se (PBE, optimized geometry)
# uncorrected formation energy = 0.15 eV per atom
data_CaBe2Se
_symmetry_space_group_name_H-M 'I m m m'
_symmetry_Int_Tables_number 71
_symmetry_space_group_name_Hall '-I 2 2'
_cell_length_a 3.334
_cell_length_b 4.494
_cell_length_c 9.748
_cell_angle_alpha 90.00
_cell_angle_beta 90.00
_cell_angle_gamma 90.00
loop_
_atom_site_label
_atom_site_type_symbol
_atom_site_fract_x
_atom_site_fract_y
_atom_site_fract_z
Ca1 Ca 0.000 0.000 0.000
Be1 Be 0.000 0.500 0.213
Se1 Se 0.000 0.000 0.500